1.
Entry from Alexandria via LeMat-Bulk: an optimized crystal structure of Pm2Ho2Rh3 (PBE).

distance to the lowest polymorph of the same formula = 0.0000 eV/atom
energy relative to the elements = -69.5 kJ per mole of atoms
total magnetization = 0.000 μB/f.u.
DOS at the Fermi energy = 6.5 states/eV/cell
raw total energy = -6.54 eV per atom
symmetry = I2_13 (199)

Cell lengths 7.512, 7.512, 7.512 Å; angles 109.47, 109.47, 109.47 degrees
Positions (direct):
Pm 0.500 0.373 0.500
Pm 0.000 0.000 0.373
Pm 0.627 0.127 0.127
Pm 0.873 0.500 0.000
Ho 0.000 0.000 0.889
Ho 0.500 0.889 0.500
Ho 0.111 0.611 0.611
Ho 0.389 0.500 0.000
Rh 0.750 0.662 0.412
Rh 0.250 0.838 0.088
Rh 0.588 0.750 0.838
Rh 0.912 0.250 0.662
Rh 0.338 0.088 0.750
Rh 0.162 0.412 0.250

2.
Entry from Alexandria via LeMat-Bulk: an optimized crystal structure of TiNbV2 (PBE).

distance to the lowest polymorph of the same formula = 0.0118 eV/atom
energy relative to the elements = 7.6 kJ per mole of atoms
total magnetization = 0.000 μB/f.u.
DOS at the Fermi energy = 13.9 states/eV/cell
raw total energy = -8.97 eV per atom
symmetry = P2/m (10)

Cell lengths 2.764, 10.307, 5.517 Å; angles 79.56, 109.79, 122.39 degrees
Positions (direct):
Ti 0.000 0.750 0.500
Ti 0.000 0.250 0.500
Nb 0.000 0.250 0.000
Nb 0.000 0.750 0.000
V 0.964 0.500 0.255
V 0.036 0.500 0.745
V 0.964 0.000 0.255
V 0.036 0.000 0.745

3.
Entry from Alexandria via LeMat-Bulk: an optimized crystal structure of Nd2H6RuPt (PBE).

total magnetization = 0.000 μB/f.u.
DOS at the Fermi energy = 2.7 states/eV/cell
raw total energy = -5.00 eV per atom
symmetry = Fmmm (69)

Cell lengths 5.336, 5.337, 5.325 Å; angles 60.10, 60.10, 90.21 degrees
Positions (direct):
Nd 0.750 0.250 0.500
Nd 0.250 0.750 0.500
H 0.263 0.263 0.475
H 0.738 0.738 0.000
H 0.263 0.737 0.000
H 0.737 0.263 0.000
H 0.262 0.262 0.000
H 0.737 0.737 0.525
Ru 0.500 0.500 0.000
Pt 0.000 0.000 0.000

4.
Entry from Alexandria via LeMat-Bulk: an optimized crystal structure of Pm2Sm2Sb3 (PBE).

distance to the lowest polymorph of the same formula = 0.1469 eV/atom
total magnetization = 0.000 μB/f.u.
DOS at the Fermi energy = 3.9 states/eV/cell
raw total energy = -5.38 eV per atom
symmetry = C2/m (12)

Cell lengths 4.451, 7.566, 7.574 Å; angles 99.05, 107.09, 90.00 degrees
Positions (direct):
Pm 0.376 0.130 0.752
Pm 0.624 0.870 0.248
Sm 0.122 0.380 0.245
Sm 0.878 0.620 0.755
Sb 0.000 0.000 0.000
Sb 0.255 0.747 0.510
Sb 0.745 0.253 0.490

5.
Entry from Alexandria via LeMat-Bulk: an optimized crystal structure of LaMg2InIr (PBE).

distance to the lowest polymorph of the same formula = 0.0195 eV/atom
energy relative to the elements = -25.1 kJ per mole of atoms
total magnetization = 0.000 μB/f.u.
DOS at the Fermi energy = 4.3 states/eV/cell
raw total energy = -4.20 eV per atom
symmetry = P4/mmm (123)

Cell lengths 4.992, 4.992, 5.149 Å; angles 90.00, 90.00, 90.00 degrees
Positions (direct):
Mg 0.000 0.500 0.000
Mg 0.500 0.000 0.000
Ir 0.000 0.000 0.000
In 0.000 0.000 0.500
La 0.500 0.500 0.500

6.
Entry from Alexandria via LeMat-Bulk: an optimized crystal structure of La2YTi (PBE).

distance to the lowest polymorph of the same formula = 0.3146 eV/atom
energy relative to the elements = 49.8 kJ per mole of atoms
total magnetization = 2.017 μB/f.u.
DOS at the Fermi energy = 18.0 states/eV/cell
raw total energy = -5.54 eV per atom
symmetry = I-42d (122)

Cell lengths 8.795, 8.795, 7.028 Å; angles 51.27, 51.27, 90.00 degrees
Each line ends with the local moment (μB).
Positions (direct):
Y 0.000 0.000 0.000  0.07
Y 0.750 0.250 0.500  0.07
Ti 0.500 0.500 0.000  1.28
Ti 0.250 0.750 0.500  1.28
La 0.580 0.125 0.250  0.12
La 0.170 0.625 0.250  0.13
La 0.375 0.420 0.750  0.12
La 0.875 0.830 0.750  0.13

7.
Entry from Alexandria via LeMat-Bulk: an optimized crystal structure of CaMn2Nb (PBE).

energy relative to the elements = 90.4 kJ per mole of atoms
total magnetization = 4.333 μB/f.u.
DOS at the Fermi energy = 8.0 states/eV/cell
raw total energy = -6.67 eV per atom
symmetry = I4_1/amd (141)

Cell lengths 4.912, 4.912, 8.979 Å; angles 74.13, 74.13, 90.00 degrees
Each line ends with the local moment (μB).
Positions (direct):
Nb 0.000 0.000 0.000  -1.20
Nb 0.750 0.250 0.500  -1.20
Mn 0.875 0.125 0.250  2.74
Mn 0.875 0.625 0.250  2.73
Mn 0.375 0.125 0.750  2.71
Mn 0.875 0.125 0.750  2.75
Ca 0.500 0.500 0.000  -0.04
Ca 0.250 0.750 0.500  -0.04

8.
Entry from Alexandria via LeMat-Bulk: an optimized crystal structure of CaTl2HI (PBE).

total magnetization = 0.000 μB/f.u.
DOS at the Fermi energy = 4.1 states/eV/cell
raw total energy = -2.50 eV per atom
symmetry = P4/mmm (123)

Cell lengths 5.661, 4.356, 5.661 Å; angles 90.00, 90.00, 90.00 degrees
Positions (direct):
I 0.500 0.500 0.500
H 0.000 0.000 0.000
Tl 0.000 0.000 0.500
Tl 0.500 0.000 0.000
Ca 0.000 0.500 0.000

9.
Entry from Alexandria via LeMat-Bulk: an optimized crystal structure of Ho2Er7Tm (PBE).

distance to the lowest polymorph of the same formula = 0.6827 eV/atom
energy relative to the elements = 68.2 kJ per mole of atoms
total magnetization = 0.001 μB/f.u.
DOS at the Fermi energy = 11.4 states/eV/cell
raw total energy = -3.85 eV per atom
symmetry = Cmmm (65)

Cell lengths 5.112, 9.530, 9.530 Å; angles 126.38, 90.00, 90.00 degrees
Positions (direct):
Ho 0.500 0.702 0.298
Ho 0.500 0.298 0.702
Er 0.000 0.805 0.195
Er 0.000 0.195 0.805
Er 0.500 0.071 0.286
Er 0.500 0.929 0.714
Er 0.500 0.286 0.071
Er 0.500 0.714 0.929
Er 0.500 0.500 0.500
Tm 0.000 0.000 0.000

10.
Entry from Alexandria via LeMat-Bulk: an optimized crystal structure of CaSb2Ru (PBE).

total magnetization = 0.000 μB/f.u.
DOS at the Fermi energy = 4.0 states/eV/cell
raw total energy = -4.90 eV per atom
symmetry = I-4m2 (119)

Cell lengths 5.707, 5.707, 5.707 Å; angles 136.17, 136.17, 63.72 degrees
Positions (direct):
Sb 0.000 0.000 0.000
Sb 0.250 0.750 0.500
Ca 0.500 0.500 0.000
Ru 0.750 0.250 0.500

11.
Entry from Alexandria via LeMat-Bulk: an optimized crystal structure of CeSmInPd (PBE).

energy relative to the elements = -43.0 kJ per mole of atoms
total magnetization = 0.767 μB/f.u.
DOS at the Fermi energy = 8.6 states/eV/cell
raw total energy = -5.09 eV per atom
symmetry = F-43m (216)

Cell lengths 5.281, 5.281, 5.281 Å; angles 60.00, 60.00, 60.00 degrees
Each line ends with the local moment (μB).
Positions (direct):
Pd 0.000 0.000 0.000  -0.03
Ce 0.250 0.250 0.250  0.71
Sm 0.750 0.750 0.750  0.02
In 0.500 0.500 0.500  -0.01

12.
Entry from Alexandria via LeMat-Bulk: an optimized crystal structure of CeTh3O8 (PBE).

total magnetization = 0.000 μB/f.u.
DOS at the Fermi energy = 0.0 states/eV/cell
raw total energy = -9.44 eV per atom
symmetry = Pm-3m (221)

Cell lengths 5.583, 5.583, 5.583 Å; angles 90.00, 90.00, 90.00 degrees
Positions (direct):
Ce 0.000 0.000 0.000
Th 0.500 0.500 0.000
Th 0.500 0.000 0.500
Th 0.000 0.500 0.500
O 0.248 0.248 0.752
O 0.248 0.752 0.248
O 0.752 0.248 0.248
O 0.752 0.752 0.752
O 0.752 0.752 0.248
O 0.752 0.248 0.752
O 0.248 0.752 0.752
O 0.248 0.248 0.248